[1]
Crystalline TmScGe2Au2 at its relaxed geometry, computed with GGA-PBE.

Lattice parameters (Å, degrees): 4.4109 4.4109 7.0448 90.00 90.00 120.00
Element x y z (fractional)
Tm 0.0000 0.0000 0.0000
Sc 0.0000 0.0000 0.4997
Ge 0.3333 0.6667 0.6990
Ge 0.6667 0.3333 0.2100
Au 0.3333 0.6667 0.3035
Au 0.6667 0.3333 0.7923

Output
Final energy (eV per atom): -5.19
SG: P3m1 (156)

=====

[2]
Crystalline TmSc2Ge4Au4 at its relaxed geometry, computed with GGA-PBE.

Lattice parameters (Å, degrees): 8.2526 8.2526 8.2526 150.60 129.32 59.67
Element x y z (fractional)
Tm 0.0000 0.0000 0.0000
Sc 0.3778 0.8778 0.5000
Sc 0.6222 0.1222 0.5000
Ge 0.2193 0.2193 0.0000
Ge 0.3205 0.5000 0.8205
Ge 0.6795 0.5000 0.1795
Ge 0.7807 0.7807 0.0000
Au 0.0381 0.3336 0.7045
Au 0.3708 0.6664 0.7045
Au 0.6292 0.3336 0.2955
Au 0.9619 0.6664 0.2955

Output
Final energy (eV per atom): -4.99
SG: Immm (71)

=====

[3]
Crystalline TlGeTe2AuSe at its relaxed geometry, computed with GGA-PBE.

Lattice parameters (Å, degrees): 6.8696 6.8696 11.6429 90.00 90.00 144.08
Element x y z (fractional)
Tl 0.2039 0.7961 0.7500
Tl 0.7961 0.2039 0.2500
Ge 0.5000 0.5000 0.0000
Ge 0.5000 0.5000 0.5000
Te 0.1525 0.8475 0.0225
Te 0.1525 0.8475 0.4775
Te 0.8475 0.1525 0.5225
Te 0.8475 0.1525 0.9775
Au 0.1188 0.8812 0.2500
Au 0.8812 0.1188 0.7500
Se 0.4793 0.5207 0.2500
Se 0.5207 0.4793 0.7500

Output
Final energy (eV per atom): -3.43
SG: Cmcm (63)